NpAlFeO6: optimized geometry, PBE with a Hubbard U.

Output
VASP energy (eV/atom): -8.02

```
NpAlFeO6
1.0
4.669 0.000 0.000
0.000 4.669 0.000
0.000 0.000 9.082
Al O Fe Np
2 12 2 2
Direct
0.000 0.000 0.331
0.500 0.500 0.831
0.702 0.702 0.339
0.197 0.803 0.491
0.182 0.818 0.170
0.298 0.298 0.339
0.318 0.318 0.670
0.697 0.697 0.991
0.303 0.303 0.991
0.202 0.798 0.839
0.818 0.182 0.170
0.803 0.197 0.491
0.682 0.682 0.670
0.798 0.202 0.839
0.000 0.000 0.001
0.500 0.500 0.501
0.500 0.500 0.168
0.000 0.000 0.668
```